## SmTmU2As4 (GGA-PBE)

Data for a relaxed SmTmU2As4 crystal.

abc: 7.0648 4.0773 7.2128
angles: 90.00 109.04 90.00
Last column: nearest neighbours and their distance in Å.
Space group P2/m (No. 10)
Asymmetric unit:
Sm1 0.0000 0.0000 0.0000  6 As 2.94
Tm1 0.5000 0.5000 0.0000  6 As 2.90
U1 0.0000 0.5000 0.5000  6 As 2.91-2.92
U2 0.5000 0.0000 0.5000  6 As 2.87-2.88
As1 0.2542 0.0000 0.7487  3 U 2.88-2.92, 2 Tm 2.90, 1 Sm 2.94
As2 0.2563 0.5000 0.2548  3 U 2.87-2.91, 1 Tm 2.90, 2 Sm 2.94

Energy of formation: -1122 meV per atom

## Sm2Y3TmAs6 (GGA-PBE)

Data for a relaxed Sm2Y3TmAs6 crystal.

abc: 18.0636 4.1466 8.2875
angles: 90.00 103.25 90.00
Last column: nearest neighbours and their distance in Å.
Space group C2/m (No. 12)
Asymmetric unit:
Sm1 0.1658 0.0000 0.3321  6 As 2.94-2.97
Y1 0.0000 0.5000 0.5000  6 As 2.91-2.95
Y2 0.1672 0.0000 0.8339  6 As 2.91-2.95
Tm1 0.0000 0.5000 0.0000  6 As 2.91
As1 0.0017 0.0000 0.7540  3 Y 2.91-2.95, 2 Tm 2.91, 1 Sm 2.94
As2 0.1653 0.5000 0.0787  1 Tm 2.91, 3 Y 2.91-2.95, 2 Sm 2.95
As3 0.1656 0.5000 0.5862  3 Y 2.91, 3 Sm 2.96-2.97

Energy of formation: -1534 meV per atom

## SmYTm2As4 (GGA-PBE)

Data for a relaxed SmYTm2As4 crystal.

abc: 7.1286 4.1192 7.1305
angles: 90.00 109.47 90.00
Last column: nearest neighbours and their distance in Å.
Space group P2/m (No. 10)
Asymmetric unit:
Sm1 0.0000 0.0000 0.0000  6 As 2.95
Y1 0.0000 0.5000 0.5000  6 As 2.93
Tm1 0.5000 0.0000 0.5000  6 As 2.87
Tm2 0.5000 0.5000 0.0000  6 As 2.90
As1 0.2561 0.0000 0.7497  3 Tm 2.87-2.90, 2 Y 2.93, 1 Sm 2.95
As2 0.2578 0.5000 0.2550  3 Tm 2.87-2.90, 1 Y 2.93, 2 Sm 2.95

Energy of formation: -1520 meV per atom

## Sm2YTmAs4 (GGA-PBE)

Data for a relaxed Sm2YTmAs4 crystal.

abc: 7.1918 4.1575 7.1973
angles: 90.00 109.48 90.00
Last column: nearest neighbours and their distance in Å.
Space group P2/m (No. 10)
Asymmetric unit:
Sm1 0.0000 0.0000 0.0000  6 As 2.96
Sm2 0.0000 0.5000 0.5000  6 As 2.98
Y1 0.5000 0.0000 0.5000  6 As 2.92
Tm1 0.5000 0.5000 0.0000  6 As 2.90
As1 0.2567 0.5000 0.2503  1 Tm 2.90, 2 Y 2.92, 3 Sm 2.96-2.98
As2 0.2580 0.0000 0.7546  2 Tm 2.90, 1 Y 2.92, 3 Sm 2.96-2.98

Energy of formation: -1526 meV per atom

no.,DOS(E_F) (states/eV/f.u.)
1,7.3
2,1.9
3,1.0
4,0.9